[1]
A plane-wave DFT calculation with meta-GGA SCAN was carried out for a crystal of ZrAlSb2 relaxed with PBEsol.

a = 3.1237 Å, b = 5.1922 Å, c = 5.7148 Å
α = 101.96°, β = 105.86°, γ = 90.00°
Last column: nearest neighbours and their distance in Å.
Element x y z (fractional)
Sb  0.2326  0.6957  0.4652  3 Zr 3.03-3.12, 4 Al 3.04-3.07, 3 Sb 3.12-3.32
Zr  0.4822  0.5373  0.9644  7 Sb 3.03-3.12, 2 Al 3.04, 2 Zr 3.12
Al  0.7664  0.2075  0.5327  7 Sb 3.04-3.09, 2 Zr 3.04, 2 Al 3.12
Sb  0.0188  0.0595  0.0376  4 Zr 3.03-3.08, 3 Al 3.04-3.09, 3 Sb 3.12-3.32

Computed properties:
formation energy from raw total energies = -0.17 eV/atom
symmetry = Cm, No. 8
M_tot = 0.0 μB per cell

[2]
A plane-wave DFT calculation with meta-GGA SCAN was carried out for a crystal of Sc8Al relaxed with PBEsol.

a = 4.4082 Å, b = 7.1140 Å, c = 7.1140 Å
α = 84.49°, β = 71.95°, γ = 71.95°
Last column: nearest neighbours and their distance in Å.
Element x y z (fractional)
Al  0.0000  0.0000  0.0000  12 Sc 3.09-3.18
Sc  0.0000  0.6675  0.3325  11 Sc 3.15-3.25, 1 Al 3.18
Sc  0.3395  0.3210  0.0000  10 Sc 3.07-3.27, 2 Al 3.09
Sc  0.6605  0.6790  0.0000  10 Sc 3.07-3.27, 2 Al 3.09
Sc  0.6605  0.0000  0.6790  10 Sc 3.07-3.27, 2 Al 3.09
Sc  0.6675  0.3325  0.3325  11 Sc 3.15-3.25, 1 Al 3.18
Sc  0.0000  0.3325  0.6675  11 Sc 3.15-3.25, 1 Al 3.18
Sc  0.3395  0.0000  0.3210  10 Sc 3.07-3.27, 2 Al 3.09
Sc  0.3325  0.6675  0.6675  11 Sc 3.15-3.25, 1 Al 3.18

Computed properties:
symmetry = I4/mmm, No. 139
formation energy from the elements = -0.054 eV/atom
M_tot = 3.7 μB per cell

[3]
A plane-wave DFT calculation with meta-GGA SCAN was carried out for a crystal of ScAl3 relaxed with PBEsol.

a = 3.9875 Å, b = 3.9875 Å, c = 5.2027 Å
α = 112.53°, β = 112.53°, γ = 90.00°
Last column: nearest neighbours and their distance in Å.
Element x y z (fractional)
Al  0.7500  0.2500  0.5000  8 Al 2.82-2.96, 4 Sc 2.96
Al  0.2500  0.7500  0.5000  8 Al 2.82-2.96, 4 Sc 2.96
Sc  0.0000  0.0000  0.0000  12 Al 2.82-2.96
Al  0.5000  0.5000  0.0000  4 Sc 2.82, 8 Al 2.96

Computed properties:
symmetry = I4/mmm, No. 139
formation energy from the elements = -0.364 eV/atom
M_tot = 0.0 μB per cell

[4]
A plane-wave DFT calculation with meta-GGA SCAN was carried out for a crystal of Sc2Al relaxed with PBEsol.

a = 4.8450 Å, b = 4.8450 Å, c = 6.0790 Å
α = 90.00°, β = 90.00°, γ = 120.00°
Last column: nearest neighbours and their distance in Å.
Element x y z (fractional)
Sc  0.0000  0.0000  0.5000  8 Sc 3.04-3.18, 6 Al 3.18
Al  0.6667  0.3333  0.7500  5 Sc 2.80-3.04
Sc  0.6667  0.3333  0.2500  5 Al 2.80-3.04
Al  0.3333  0.6667  0.2500  5 Sc 2.80-3.04
Sc  0.0000  0.0000  0.0000  8 Sc 3.04-3.18, 6 Al 3.18
Sc  0.3333  0.6667  0.7500  5 Al 2.80-3.04

Computed properties:
symmetry = P6_3/mmc, No. 194
formation energy from the elements = -0.372 eV/atom
M_tot = 1.5 μB per cell

[5]
A plane-wave DFT calculation with meta-GGA SCAN was carried out for a crystal of Sc3Al relaxed with PBEsol.

a = 6.1998 Å, b = 6.1998 Å, c = 10.0636 Å
α = 90.00°, β = 90.00°, γ = 120.00°
Last column: nearest neighbours and their distance in Å.
Element x y z (fractional)
Sc  0.8372  0.1628  0.2500  8 Sc 3.03-3.17, 4 Al 3.06-3.10
Al  0.0000  0.0000  0.0000  12 Sc 3.06-3.10
Sc  0.1628  0.8372  0.7500  8 Sc 3.03-3.17, 4 Al 3.06-3.10
Sc  0.5000  0.0000  0.0000  4 Al 3.09-3.10, 8 Sc 3.10
Al  0.3333  0.6667  0.2500  12 Sc 3.09-3.10
Sc  0.3256  0.1628  0.2500  8 Sc 3.03-3.17, 4 Al 3.06-3.10
Sc  0.5000  0.5000  0.5000  4 Al 3.09-3.10, 8 Sc 3.10
Sc  0.1628  0.3256  0.7500  8 Sc 3.03-3.17, 4 Al 3.06-3.10
Sc  0.6744  0.8372  0.7500  8 Sc 3.03-3.17, 4 Al 3.06-3.10
Al  0.0000  0.0000  0.5000  12 Sc 3.06-3.10
Sc  0.5000  0.0000  0.5000  4 Al 3.09-3.10, 8 Sc 3.10
Sc  0.5000  0.5000  0.0000  4 Al 3.09-3.10, 8 Sc 3.10
Sc  0.0000  0.5000  0.0000  4 Al 3.09-3.10, 8 Sc 3.10
Al  0.6667  0.3333  0.7500  12 Sc 3.09-3.10
Sc  0.8372  0.6744  0.2500  8 Sc 3.03-3.17, 4 Al 3.06-3.10
Sc  0.0000  0.5000  0.5000  4 Al 3.09-3.10, 8 Sc 3.10

Computed properties:
symmetry = P6_3/mmc, No. 194
formation energy from the elements = -0.275 eV/atom
M_tot = 6.0 μB per cell

[6]
A plane-wave DFT calculation with meta-GGA SCAN was carried out for a crystal of Sc7Al relaxed with PBEsol.

a = 6.3201 Å, b = 6.3201 Å, c = 6.3201 Å
α = 60.00°, β = 60.00°, γ = 60.00°
Last column: nearest neighbours and their distance in Å.
Element x y z (fractional)
Al  0.0000  0.0000  0.0000  12 Sc 3.16
Sc  0.0000  0.5000  0.0000  10 Sc 3.16, 2 Al 3.16
Sc  0.5000  0.0000  0.0000  10 Sc 3.16, 2 Al 3.16
Sc  0.0000  0.5000  0.5000  10 Sc 3.16, 2 Al 3.16
Sc  0.0000  0.0000  0.5000  10 Sc 3.16, 2 Al 3.16
Sc  0.5000  0.0000  0.5000  10 Sc 3.16, 2 Al 3.16
Sc  0.5000  0.5000  0.5000  12 Sc 3.16
Sc  0.5000  0.5000  0.0000  2 Al 3.16, 10 Sc 3.16

Computed properties:
symmetry = Fm-3m, No. 225
formation energy from the elements = -0.046 eV/atom
M_tot = 0.1 μB per cell

[7]
A plane-wave DFT calculation with meta-GGA SCAN was carried out for a crystal of Sc3Al relaxed with PBEsol.

a = 3.4760 Å, b = 4.7906 Å, c = 5.8929 Å
α = 113.98°, β = 107.15°, γ = 90.00°
Last column: nearest neighbours and their distance in Å.
Element x y z (fractional)
Al  0.0000  0.0833  0.0000  8 Sc 2.87-2.96
Sc  0.2761  0.8594  0.5521  2 Al 2.87, 4 Sc 3.01
Sc  0.5000  0.5833  0.0000  4 Al 2.96, 8 Sc 3.31
Sc  0.7239  0.3073  0.4479  2 Al 2.87, 4 Sc 3.01

Computed properties:
symmetry = Immm, No. 71
formation energy from the elements = -0.249 eV/atom
M_tot = 0.0 μB per cell

[8]
A plane-wave DFT calculation with meta-GGA SCAN was carried out for a crystal of Sc3Al relaxed with PBEsol.

a = 4.3663 Å, b = 4.3663 Å, c = 4.3663 Å
α = 90.00°, β = 90.00°, γ = 90.00°
Last column: nearest neighbours and their distance in Å.
Element x y z (fractional)
Al  0.0000  0.0000  0.0000  12 Sc 3.09
Sc  0.0000  0.5000  0.5000  4 Al 3.09, 8 Sc 3.09
Sc  0.5000  0.5000  0.0000  4 Al 3.09, 8 Sc 3.09
Sc  0.5000  0.0000  0.5000  4 Al 3.09, 8 Sc 3.09

Computed properties:
symmetry = Pm-3m, No. 221
formation energy from the elements = -0.259 eV/atom
M_tot = 1.6 μB per cell

[9]
A plane-wave DFT calculation with meta-GGA SCAN was carried out for a crystal of ScAl3 relaxed with PBEsol.

a = 3.0111 Å, b = 5.0034 Å, c = 5.0034 Å
α = 110.75°, β = 90.00°, γ = 90.00°
Last column: nearest neighbours and their distance in Å.
Element x y z (fractional)
Al  0.5000  0.0000  0.5000  8 Al 2.84-3.01, 4 Sc 2.92
Sc  0.0000  0.0000  0.0000  10 Al 2.84-2.92, 2 Sc 3.01
Al  0.5000  0.5000  0.0000  8 Al 2.84-3.01, 4 Sc 2.92
Al  0.0000  0.5000  0.5000  2 Sc 2.84, 10 Al 2.92-3.01

Computed properties:
symmetry = Cmmm, No. 65
formation energy from the elements = -0.292 eV/atom
M_tot = 0.0 μB per cell

[10]
A plane-wave DFT calculation with meta-GGA SCAN was carried out for a crystal of Sc5Al4 relaxed with PBEsol.

a = 5.9042 Å, b = 8.3530 Å, c = 8.3530 Å
α = 120.00°, β = 90.00°, γ = 90.00°
Last column: nearest neighbours and their distance in Å.
Element x y z (fractional)
Sc  0.7500  0.2953  0.2953  7 Al 2.80-3.01
Sc  0.0000  0.6667  0.3333  8 Sc 2.95-3.30, 6 Al 3.05
Sc  0.7500  0.7047  0.0000  7 Al 2.80-3.01
Al  0.7500  0.6360  0.6360  9 Sc 2.80-3.05
Al  0.2500  0.0000  0.6360  9 Sc 2.80-3.05
Sc  0.2500  0.2953  0.0000  7 Al 2.80-3.01
Al  0.0000  0.0000  0.0000  6 Sc 2.87, 2 Al 2.95
Al  0.7500  0.3640  0.0000  9 Sc 2.80-3.05
Sc  0.5000  0.3333  0.6667  8 Sc 2.95-3.30, 6 Al 3.05
Al  0.2500  0.3640  0.3640  9 Sc 2.80-3.05
Al  0.2500  0.6360  0.0000  9 Sc 2.80-3.05
Al  0.7500  0.0000  0.3640  9 Sc 2.80-3.05
Sc  0.7500  0.0000  0.7047  7 Al 2.80-3.01
Al  0.5000  0.0000  0.0000  6 Sc 2.87, 2 Al 2.95
Sc  0.2500  0.0000  0.2953  7 Al 2.80-3.01
Sc  0.0000  0.3333  0.6667  8 Sc 2.95-3.30, 6 Al 3.05
Sc  0.5000  0.6667  0.3333  8 Sc 2.95-3.30, 6 Al 3.05
Sc  0.2500  0.7047  0.7047  7 Al 2.80-3.01

Computed properties:
symmetry = P6_3/mcm, No. 193
formation energy from the elements = -0.389 eV/atom
M_tot = 0.0 μB per cell

[11]
A plane-wave DFT calculation with meta-GGA SCAN was carried out for a crystal of Sc3Al relaxed with PBEsol.

a = 3.1867 Å, b = 3.1867 Å, c = 8.3900 Å
α = 90.00°, β = 90.00°, γ = 90.00°
Last column: nearest neighbours and their distance in Å.
Element x y z (fractional)
Sc  0.0000  0.0000  0.5000  12 Sc 3.19-3.22
Sc  0.5000  0.5000  0.7750  4 Al 2.94, 8 Sc 3.19-3.22
Al  0.0000  0.0000  0.0000  8 Sc 2.94, 4 Al 3.19
Sc  0.5000  0.5000  0.2250  4 Al 2.94, 8 Sc 3.19-3.22

Computed properties:
symmetry = P4/mmm, No. 123
formation energy from the elements = -0.226 eV/atom
M_tot = 0.9 μB per cell

[12]
A plane-wave DFT calculation with meta-GGA SCAN was carried out for a crystal of Sc2Al relaxed with PBEsol.

a = 2.9174 Å, b = 4.7997 Å, c = 4.7997 Å
α = 120.00°, β = 90.00°, γ = 90.00°
Last column: nearest neighbours and their distance in Å.
Element x y z (fractional)
Sc  0.5007  0.3333  0.6667  5 Sc 2.77-2.92
Sc  0.4993  0.6667  0.3333  5 Sc 2.77-2.92
Al  0.0000  0.0000  0.0000  2 Al 2.92, 12 Sc 3.13

Computed properties:
symmetry = P6/mmm, No. 191
formation energy from the elements = -0.121 eV/atom
M_tot = 0.0 μB per cell